1.
{"formula": "ScSO3", "functional": "PBE-GGA", "state": "optimized geometry", "lattice": [[4.0290, 0.0000, 0.0000], [0.0000, 4.0290, 0.0000], [0.0000, 0.0000, 4.0290]], "species": ["Sc", "S", "O", "O", "O"], "frac_coords": [[0.0000, 0.0000, 0.0000], [0.5000, 0.5000, 0.5000], [0.0000, 0.0000, 0.5000], [0.0000, 0.5000, 0.0000], [0.5000, 0.0000, 0.0000]], "total_energy_ev_per_atom": -5.77, "magmom_total_mub_per_cell": 0.63, "e_form_raw_ev_per_atom": -0.7006}

***

2.
{"formula": "ScSO4", "functional": "PBE-GGA", "state": "optimized geometry", "lattice": [[5.6760, 0.0000, 0.0000], [0.0000, 5.7835, 0.0000], [0.0000, 0.0000, 5.9678]], "species": ["Sc", "Sc", "S", "S", "O", "O", "O", "O", "O", "O", "O", "O"], "frac_coords": [[0.0000, 0.0000, 0.0000], [0.5000, 0.0000, 0.5000], [0.0000, 0.0000, 0.5000], [0.0000, 0.5000, 0.0000], [0.1504, 0.3405, 0.1359], [0.1504, 0.6595, 0.8641], [0.2220, 0.0780, 0.7009], [0.2220, 0.9220, 0.2991], [0.7780, 0.0780, 0.2991], [0.7780, 0.9220, 0.7009], [0.8496, 0.3405, 0.8641], [0.8496, 0.6595, 0.1359]], "total_energy_ev_per_atom": -6.83, "magmom_total_mub_per_cell": 0.00, "e_form_raw_ev_per_atom": -1.7856}

***

3.
{"formula": "ScS2O8", "functional": "PBE-GGA", "state": "optimized geometry", "lattice": [[4.0883, -4.3650, 0.0000], [4.0883, 4.3650, 0.0000], [-0.7749, 0.0000, 4.9009]], "species": ["Sc", "S", "S", "O", "O", "O", "O", "O", "O", "O", "O"], "frac_coords": [[0.0000, 0.0000, 0.0000], [0.2322, 0.2322, 0.6542], [0.7678, 0.7678, 0.3458], [0.0204, 0.2914, 0.7775], [0.1785, 0.1785, 0.3524], [0.2914, 0.0204, 0.7775], [0.4122, 0.4122, 0.7110], [0.5878, 0.5878, 0.2890], [0.7086, 0.9796, 0.2225], [0.8215, 0.8215, 0.6476], [0.9796, 0.7086, 0.2225]], "total_energy_ev_per_atom": -6.56, "magmom_total_mub_per_cell": 1.08, "e_form_raw_ev_per_atom": -1.6240}